No. 1
First-principles (PBE) data for Cd2Cu2Pb after structural relaxation, as listed in Alexandria.

Lattice parameters (Å, degrees): 4.0274 4.0274 6.9720 73.21 73.21 90.00
Closest atoms and distances in Å follow each position.
Element x y z (fractional)
Pb  0.0000  0.0000  0.0000  8 Cu 3.10
Cu  0.4036  0.4036  0.1928  1 Cu 2.45
Cu  0.5964  0.5964  0.8072  1 Cu 2.45
Cd  0.7500  0.2500  0.5000  4 Cu 2.81, 4 Cd 2.85
Cd  0.2500  0.7500  0.5000  4 Cu 2.81, 4 Cd 2.85

## Properties
M_tot = 0.00 μB/cell
total DFT energy (no corrections) = -12.823 eV/cell
D(E_F) = 1.87 states/eV/f.u.
symmetry = I4/mmm
calculated volume = 20.644 Å³/atom

No. 2
First-principles (PBE) data for Pr2U3Se8 after structural relaxation, as listed in Alexandria.

Lattice parameters (Å, degrees): 6.9803 8.2826 8.5249 119.06 106.11 90.00
Closest atoms and distances in Å follow each position.
Element x y z (fractional)
Pr  0.3333  0.2590  0.5179  6 Se 2.96-3.02
Pr  0.6667  0.7410  0.4821  6 Se 2.96-3.02
U  0.5000  0.0000  0.0000  6 Se 2.87
U  0.0000  0.2560  0.0000  6 Se 2.82-2.91
U  0.0000  0.7440  0.0000  6 Se 2.82-2.91
Se  0.9208  0.6155  0.2311  2 U 2.82, 1 Pr 2.96
Se  0.0792  0.3845  0.7689  2 U 2.82, 1 Pr 2.96
Se  0.9157  0.1159  0.2319  3 U 2.87-2.91, 1 Pr 3.02
Se  0.0843  0.8841  0.7681  3 U 2.87-2.91, 1 Pr 3.02
Se  0.5879  0.6414  0.7574  2 U 2.87-2.88, 2 Pr 3.01-3.02
Se  0.5879  0.1160  0.7574  2 U 2.87-2.88, 2 Pr 3.01-3.02
Se  0.4121  0.8840  0.2426  2 U 2.87-2.88, 2 Pr 3.01-3.02
Se  0.4121  0.3586  0.2426  2 U 2.87-2.88, 2 Pr 3.01-3.02

## Properties
M_tot = 8.00 μB/cell
D(E_F) = 16.23 states/eV/f.u.
symmetry = C2/m
E_form (uncorrected) = -1.366 eV per atom
calculated volume = 31.425 Å³/atom

No. 3
First-principles (PBE) data for Hf6SnSe after structural relaxation, as listed in Alexandria.

Lattice parameters (Å, degrees): 8.7339 7.3639 5.7108 49.81 40.10 53.50
Closest atoms and distances in Å follow each position.
Element x y z (fractional)
Hf  0.0744  0.4047  0.7554  1 Se 2.61
Hf  0.7657  0.9250  0.7140  1 Se 2.61
Hf  0.5947  0.2344  0.0954  1 Se 2.61
Hf  0.2343  0.0750  0.2860  1 Se 2.61
Hf  0.9256  0.5953  0.2446  1 Se 2.61
Hf  0.4053  0.7656  0.9046  1 Se 2.61
Sn  0.5000  0.5000  0.5000  12 Hf 3.14-3.29
Se  0.0000  0.0000  0.0000  6 Hf 2.61

## Properties
M_tot = 0.00 μB/cell
D(E_F) = 5.39 states/eV/f.u.
symmetry = P-1
E_form (uncorrected) = -0.230 eV per atom
calculated volume = 22.110 Å³/atom

No. 4
First-principles (PBE) data for SrReRu2 after structural relaxation, as listed in Alexandria.

Lattice parameters (Å, degrees): 5.2603 5.2603 5.2603 135.37 135.37 64.95
Closest atoms and distances in Å follow each position.
Element x y z (fractional)
Re  0.7500  0.2500  0.5000  8 Ru 2.82-2.99, 4 Sr 2.99
Ru  0.0000  0.0000  0.0000  4 Sr 2.82, 4 Ru 2.99, 4 Re 2.99
Ru  0.2500  0.7500  0.5000  4 Re 2.82, 4 Ru 2.99, 4 Sr 2.99
Sr  0.5000  0.5000  0.0000  8 Ru 2.82-2.99, 4 Re 2.99

## Properties
M_tot = 0.44 μB/cell
total DFT energy (no corrections) = -28.107 eV/cell
D(E_F) = 6.85 states/eV/f.u.
symmetry = I-4m2
calculated volume = 17.700 Å³/atom

No. 5
First-principles (PBE) data for Si2TcAu after structural relaxation, as listed in Alexandria.

Lattice parameters (Å, degrees): 6.6537 6.6537 6.6537 154.02 150.11 40.01
Closest atoms and distances in Å follow each position.
Element x y z (fractional)
Au  0.3046  0.8046  0.5000  6 Si 2.65-2.67
Si  0.9658  0.9658  0.0000  4 Tc 2.44, 2 Au 2.65
Si  0.6929  0.1929  0.5000  2 Tc 2.46, 4 Au 2.67
Tc  0.5367  0.5367  0.0000  6 Si 2.44-2.46

## Properties
M_tot = 0.00 μB/cell
D(E_F) = 2.37 states/eV/f.u.
symmetry = Imm2
E_form (uncorrected) = -0.025 eV per atom
calculated volume = 16.046 Å³/atom

No. 6
First-principles (PBE) data for Pr12TcHg6 after structural relaxation, as listed in Alexandria.

Lattice parameters (Å, degrees): 8.5227 8.5227 8.5227 93.88 93.88 93.88
Closest atoms and distances in Å follow each position.
Element x y z (fractional)
Pr  0.8028  0.5730  0.4589  4 Hg 3.20-3.39
Pr  0.4589  0.8028  0.5730  4 Hg 3.20-3.39
Pr  0.5730  0.4589  0.8028  4 Hg 3.20-3.39
Pr  0.1972  0.4270  0.5411  4 Hg 3.20-3.39
Pr  0.5411  0.1972  0.4270  4 Hg 3.20-3.39
Pr  0.4270  0.5411  0.1972  4 Hg 3.20-3.39
Pr  0.9741  0.0819  0.3186  1 Tc 2.79
Pr  0.9181  0.6814  0.0259  1 Tc 2.79
Pr  0.6814  0.0259  0.9181  1 Tc 2.79
Pr  0.0259  0.9181  0.6814  1 Tc 2.79
Pr  0.0819  0.3186  0.9741  1 Tc 2.79
Pr  0.3186  0.9741  0.0819  1 Tc 2.79
Tc  0.0000  0.0000  0.0000  6 Pr 2.79
Hg  0.6564  0.8544  0.2627  8 Pr 3.20-3.45
Hg  0.7373  0.3436  0.1456  8 Pr 3.20-3.45
Hg  0.1456  0.7373  0.3436  8 Pr 3.20-3.45
Hg  0.3436  0.1456  0.7373  8 Pr 3.20-3.45
Hg  0.2627  0.6564  0.8544  8 Pr 3.20-3.45
Hg  0.8544  0.2627  0.6564  8 Pr 3.20-3.45

## Properties
M_tot = 0.00 μB/cell
total DFT energy (no corrections) = -73.051 eV/cell
D(E_F) = 25.55 states/eV/f.u.
symmetry = R-3
calculated volume = 32.347 Å³/atom

No. 7
First-principles (PBE) data for VCoTc3 after structural relaxation, as listed in Alexandria.

Lattice parameters (Å, degrees): 4.3755 4.3755 4.3755 90.00 90.00 90.00
Closest atoms and distances in Å follow each position.
Element x y z (fractional)
Co  0.0000  0.0000  0.0000  6 Tc 2.19
Tc  0.0000  0.5000  0.0000  2 Co 2.19
Tc  0.0000  0.0000  0.5000  2 Co 2.19
Tc  0.5000  0.0000  0.0000  2 Co 2.19
V  0.5000  0.5000  0.5000  12 Tc 3.09

## Properties
M_tot = 2.11 μB/cell
total DFT energy (no corrections) = -40.755 eV/cell
D(E_F) = 8.23 states/eV/f.u.
symmetry = Pm-3m
calculated volume = 16.754 Å³/atom

No. 8
First-principles (PBE) data for Pm2YHoN4 after structural relaxation, as listed in Alexandria.

Lattice parameters (Å, degrees): 3.5401 6.1287 6.1332 109.42 90.00 90.00
Closest atoms and distances in Å follow each position.
Element x y z (fractional)
Pm  0.5000  0.0000  0.5000  6 N 2.53
Pm  0.0000  0.5000  0.5000  6 N 2.54
Y  0.5000  0.5000  0.0000  6 N 2.48
Ho  0.0000  0.0000  0.0000  6 N 2.47
N  0.5000  0.2459  0.2409  2 Ho 2.47, 1 Y 2.48, 3 Pm 2.53-2.54
N  0.5000  0.7541  0.7591  2 Ho 2.47, 1 Y 2.48, 3 Pm 2.53-2.54
N  0.0000  0.2518  0.7584  1 Ho 2.47, 2 Y 2.48, 3 Pm 2.53-2.54
N  0.0000  0.7482  0.2416  1 Ho 2.47, 2 Y 2.48, 3 Pm 2.53-2.54

## Properties
M_tot = 0.00 μB/cell
D(E_F) = 0.24 states/eV/f.u.
symmetry = P2/m
E_form (uncorrected) = -1.563 eV per atom
calculated volume = 15.687 Å³/atom

No. 9
First-principles (PBE) data for ErIrRh after structural relaxation, as listed in Alexandria.

Lattice parameters (Å, degrees): 5.3303 5.3303 5.3303 89.76 120.15 120.13
Closest atoms and distances in Å follow each position.
Element x y z (fractional)
Er  0.2500  0.1238  0.8738  6 Rh 3.12-3.14, 6 Ir 3.12, 4 Er 3.25-3.27
Er  0.7500  0.8762  0.1262  6 Rh 3.12-3.14, 6 Ir 3.12, 4 Er 3.25-3.27
Ir  0.0000  0.5000  0.5000  2 Ir 2.66, 4 Rh 2.67
Ir  0.5000  0.0000  0.5000  2 Ir 2.66, 4 Rh 2.67
Rh  0.5000  0.5000  0.5000  2 Rh 2.66, 4 Ir 2.67
Rh  0.0000  0.5000  0.0000  2 Rh 2.66, 4 Ir 2.67

## Properties
M_tot = 0.00 μB/cell
total DFT energy (no corrections) = -46.337 eV/cell
D(E_F) = 2.25 states/eV/f.u.
symmetry = Imma
calculated volume = 17.810 Å³/atom

No. 10
First-principles (PBE) data for KCdW2 after structural relaxation, as listed in Alexandria.

Lattice parameters (Å, degrees): 6.3585 6.3585 6.3585 152.01 125.94 61.97
Closest atoms and distances in Å follow each position.
Element x y z (fractional)
Cd  0.5321  0.5321  0.0000  2 Cd 3.08, 6 W 3.11-3.40
K  0.2395  0.7395  0.5000  2 K 3.08, 4 W 3.30
W  0.9488  0.9488  0.0000  2 W 2.40
W  0.7796  0.2796  0.5000  2 W 2.40

## Properties
M_tot = 0.00 μB/cell
total DFT energy (no corrections) = -22.970 eV/cell
D(E_F) = 3.38 states/eV/f.u.
symmetry = Imm2
calculated volume = 24.223 Å³/atom

No. 11
First-principles (PBE) data for Ac4S3N2 after structural relaxation, as listed in Alexandria.

Lattice parameters (Å, degrees): 4.2319 7.4669 8.6640 86.05 75.86 73.54
Closest atoms and distances in Å follow each position.
Element x y z (fractional)
Ac  0.2970  0.2672  0.1388  1 N 2.38
Ac  0.7030  0.7328  0.8612  1 N 2.38
Ac  0.1052  0.1470  0.6425  3 N 2.49-2.56
Ac  0.8948  0.8530  0.3575  3 N 2.49-2.56
S  0.3838  0.4510  0.7814  5 Ac 3.00-3.28
S  0.0000  0.0000  0.0000  6 Ac 3.08-3.18
S  0.6162  0.5490  0.2186  5 Ac 3.00-3.28
N  0.2940  0.0553  0.3568  4 Ac 2.38-2.56
N  0.7060  0.9447  0.6432  4 Ac 2.38-2.56

## Properties
M_tot = 0.00 μB/cell
symmetry = C2/m
E_form (uncorrected) = -1.812 eV per atom
calculated volume = 28.289 Å³/atom

No. 12
First-principles (PBE) data for La4Pm2Nd5 after structural relaxation, as listed in Alexandria.

Lattice parameters (Å, degrees): 3.6185 12.0228 9.2723 94.40 101.25 90.00
Closest atoms and distances in Å follow each position.
Element x y z (fractional)
La  0.3589  0.2023  0.7178  6 Nd 3.53-3.78, 4 La 3.62-3.74, 2 Pm 3.79
La  0.9624  0.7369  0.9248  5 Nd 3.42-3.66, 4 La 3.62-3.74, 2 Pm 3.82
La  0.6411  0.7977  0.2822  6 Nd 3.53-3.78, 4 La 3.62-3.74, 2 Pm 3.79
La  0.0376  0.2631  0.0752  5 Nd 3.42-3.66, 4 La 3.62-3.74, 2 Pm 3.82
Pm  0.7160  0.3595  0.4320  5 Nd 3.54-3.91, 4 Pm 3.62-3.94, 4 La 3.79-3.82
Pm  0.2840  0.6405  0.5680  5 Nd 3.54-3.91, 4 Pm 3.62-3.94, 4 La 3.79-3.82
Nd  0.9041  0.4595  0.8081  4 La 3.42-3.62, 3 Pm 3.54-3.68, 3 Nd 3.55-3.62
Nd  0.0959  0.5405  0.1919  4 La 3.42-3.62, 3 Pm 3.54-3.68, 3 Nd 3.55-3.62
Nd  0.8218  0.9274  0.6436  4 La 3.53-3.78, 6 Nd 3.62-3.76, 2 Pm 3.91
Nd  0.5000  0.0000  0.0000  6 Nd 3.62-3.76, 6 La 3.66-3.67
Nd  0.1782  0.0726  0.3564  4 La 3.53-3.78, 6 Nd 3.62-3.76, 2 Pm 3.91

## Properties
M_tot = 0.00 μB/cell
total DFT energy (no corrections) = -52.298 eV/cell
D(E_F) = 17.73 states/eV/f.u.
symmetry = C2/m
calculated volume = 35.857 Å³/atom